Material: SmCdPd
Method: DFT, PBE-GGA
State: optimized geometry

Properties
ΔH_f (0 K)	-0.5588	eV/atom

```
data_SmCdPd
_chemical_formula_sum 'Sm1 Cd1 Pd1'
_symmetry_space_group_name_H-M 'P 1'
_symmetry_Int_Tables_number 1
_cell_length_a 3.732
_cell_length_b 3.732
_cell_length_c 5.524
_cell_angle_alpha 109.74
_cell_angle_beta 109.74
_cell_angle_gamma 90.00
loop_
_symmetry_equiv_pos_as_xyz
'x,y,z'
loop_
_atom_site_label
_atom_site_type_symbol
_atom_site_fract_x
_atom_site_fract_y
_atom_site_fract_z
Pd1 Pd 0.283 0.283 0.565
Cd1 Cd 0.627 0.627 0.255
Sm1 Sm 0.940 0.940 0.880
```



Material: BaReO2F
Method: DFT, PBE-GGA
State: optimized geometry

Properties
E_form (uncorrected)	-9.75	eV/f.u.

```
data_BaReO2F
_chemical_formula_sum 'Ba1 Re1 O2 F1'
_symmetry_space_group_name_H-M 'P 1'
_symmetry_Int_Tables_number 1
_cell_length_a 3.818
_cell_length_b 3.818
_cell_length_c 6.176
_cell_angle_alpha 90.00
_cell_angle_beta 90.00
_cell_angle_gamma 90.00
loop_
_symmetry_equiv_pos_as_xyz
'x,y,z'
loop_
_atom_site_label
_atom_site_type_symbol
_atom_site_fract_x
_atom_site_fract_y
_atom_site_fract_z
F1 F 0.000 0.000 0.500
Ba1 Ba 0.500 0.500 0.500
O1 O 0.000 0.500 0.000
O2 O 0.500 0.000 0.000
Re1 Re 0.000 0.000 0.000
```



no.,M_tot (μB per cell),mass density (g/cm3),electronic total energy (eV per atom)
1,0.000,9.1,-4.168
2,0.000,6.9,-7.182